Entry 1:
First-principles (GGA-PBEsol) data for crystalline Sr2SiRu at its relaxed geometry, as listed in Alexandria.

Lattice parameters (Å, degrees): 3.7508 3.9189 6.3147 90.00 90.00 90.00
Element x y z (fractional)
Sr1 0.0000 0.0000 0.2457
Sr2 0.0000 0.0000 0.7543
Si1 0.5000 0.5000 0.5000
Ru1 0.5000 0.5000 0.0000

Calculated values
The calculation puts the total energy at -4.513 eV per atom. The density of states at the Fermi level is 0.935 states/eV/atom. As for the uncorrected formation energy: 0.387 eV/atom.

=====

Entry 2:
First-principles (GGA-PBEsol) data for crystalline Sr2SiRu at its relaxed geometry, as listed in Alexandria.

Lattice parameters (Å, degrees): 4.1038 4.1038 8.6130 103.90 103.90 60.02
Element x y z (fractional)
Sr1 0.0000 0.0000 0.0000
Sr2 0.1750 0.1750 0.5207
Si1 0.7541 0.7541 0.2605
Ru1 0.4205 0.4205 0.2596

Calculated values
The calculation puts the total energy at -5.213 eV per atom. The density of states at the Fermi level is 0.801 states/eV/atom. As for the uncorrected formation energy: -0.313 eV/atom.

=====

Entry 3:
First-principles (GGA-PBEsol) data for crystalline Sr2SiRu at its relaxed geometry, as listed in Alexandria.

Lattice parameters (Å, degrees): 6.1410 6.1410 6.1410 142.78 131.80 62.43
Element x y z (fractional)
Sr1 0.0000 0.0000 0.0000
Sr2 0.7100 0.2100 0.5000
Si1 0.4258 0.4258 0.0000
Ru1 0.3161 0.8161 0.5000

Calculated values
The calculation puts the total energy at -4.999 eV per atom. The density of states at the Fermi level is 0.823 states/eV/atom. As for the uncorrected formation energy: -0.099 eV/atom.

=====

Entry 4:
First-principles (GGA-PBEsol) data for crystalline Ta2SiRu at its relaxed geometry, as listed in Alexandria.

Lattice parameters (Å, degrees): 5.1149 5.1149 5.1149 143.59 130.40 63.07
Element x y z (fractional)
Ta1 0.2488 0.2488 0.0000
Ta2 0.7512 0.7512 0.0000
Si1 0.5000 0.0000 0.5000
Ru1 0.0000 0.5000 0.5000

Calculated values
The calculation puts the total energy at -10.618 eV per atom. The density of states at the Fermi level is 0.480 states/eV/atom. As for the uncorrected formation energy: -0.363 eV/atom.

=====

Entry 5:
First-principles (GGA-PBEsol) data for crystalline Ta2SiRu at its relaxed geometry, as listed in Alexandria.

Lattice parameters (Å, degrees): 3.9356 3.9356 3.9250 90.00 90.00 90.00
Element x y z (fractional)
Ta1 0.0000 0.5000 0.0000
Ta2 0.5000 0.0000 0.0000
Si1 0.0000 0.0000 0.5000
Ru1 0.5000 0.5000 0.5000

Calculated values
The calculation puts the total energy at -10.556 eV per atom. The density of states at the Fermi level is 0.690 states/eV/atom. As for the uncorrected formation energy: -0.301 eV/atom.

=====

Entry 6:
First-principles (GGA-PBEsol) data for crystalline Ta2SiRu at its relaxed geometry, as listed in Alexandria.

Lattice parameters (Å, degrees): 5.1961 5.1961 5.1961 138.41 138.41 60.28
Element x y z (fractional)
Ta1 0.0000 0.0000 0.0000
Ta2 0.7500 0.2500 0.5000
Si1 0.2500 0.7500 0.5000
Ru1 0.5000 0.5000 0.0000

Calculated values
The calculation puts the total energy at -10.562 eV per atom. The density of states at the Fermi level is 0.712 states/eV/atom. As for the uncorrected formation energy: -0.306 eV/atom.

=====

Entry 7:
First-principles (GGA-PBEsol) data for crystalline Tb2Si5Ru3 at its relaxed geometry, as listed in Alexandria.

Lattice parameters (Å, degrees): 8.1668 8.1668 8.1668 108.45 85.13 140.22
Element x y z (fractional)
Tb1 0.1357 0.2323 0.3680
Tb2 0.3643 0.7323 0.0966
Tb3 0.6357 0.2677 0.9034
Tb4 0.8643 0.7677 0.6320
Si1 0.0425 0.7500 0.2925
Si2 0.0952 0.6695 0.7647
Si3 0.2500 0.2500 0.0000
Si4 0.4048 0.1695 0.5742
Si5 0.4575 0.7500 0.7075
Si6 0.5425 0.2500 0.2925
Si7 0.5952 0.8305 0.4258
Si8 0.7500 0.7500 0.0000
Si9 0.9048 0.3305 0.2353
Si10 0.9575 0.2500 0.7075
Ru1 0.1462 0.9078 0.0540
Ru2 0.2500 0.7500 0.5000
Ru3 0.3538 0.4078 0.7616
Ru4 0.6462 0.5922 0.2384
Ru5 0.7500 0.2500 0.5000
Ru6 0.8538 0.0922 0.9460

Calculated values
The calculation puts the total energy at -7.826 eV per atom. The density of states at the Fermi level is 0.254 states/eV/atom. As for the uncorrected formation energy: -0.899 eV/atom.

=====

Entry 8:
First-principles (GGA-PBEsol) data for crystalline TbSi2Ru2 at its relaxed geometry, as listed in Alexandria.

Lattice parameters (Å, degrees): 5.5810 5.5810 5.5810 136.53 136.53 63.16
Element x y z (fractional)
Tb1 0.0000 0.0000 0.0000
Si1 0.3691 0.3691 0.0000
Si2 0.6309 0.6309 0.0000
Ru1 0.2500 0.7500 0.5000
Ru2 0.7500 0.2500 0.5000

Calculated values
The calculation puts the total energy at -8.294 eV per atom. The density of states at the Fermi level is 0.551 states/eV/atom. As for the uncorrected formation energy: -0.924 eV/atom.

=====

Entry 9:
First-principles (GGA-PBEsol) data for crystalline TbSiRu at its relaxed geometry, as listed in Alexandria.

Lattice parameters (Å, degrees): 6.9573 4.3214 6.9626 90.00 90.00 90.00
Element x y z (fractional)
Tb1 0.0178 0.2500 0.1844
Tb2 0.4822 0.7500 0.6844
Tb3 0.5178 0.2500 0.3156
Tb4 0.9822 0.7500 0.8156
Si1 0.1941 0.2500 0.6077
Si2 0.3059 0.7500 0.1077
Si3 0.6941 0.2500 0.8923
Si4 0.8059 0.7500 0.3923
Ru1 0.1519 0.7500 0.4330
Ru2 0.3481 0.2500 0.9330
Ru3 0.6519 0.7500 0.0670
Ru4 0.8481 0.2500 0.5671

Calculated values
The calculation puts the total energy at -7.815 eV per atom. The density of states at the Fermi level is 0.834 states/eV/atom. As for the uncorrected formation energy: -0.839 eV/atom.

=====

Entry 10:
First-principles (GGA-PBEsol) data for crystalline SiTc4Ru at its relaxed geometry, as listed in Alexandria.

Lattice parameters (Å, degrees): 4.9739 4.9739 4.9739 60.00 60.00 60.00
Element x y z (fractional)
Si1 0.0000 0.0000 0.0000
Tc1 0.1240 0.6253 0.6253
Tc2 0.6253 0.1240 0.6253
Tc3 0.6253 0.6253 0.1240
Tc4 0.6253 0.6253 0.6253
Ru1 0.2500 0.2500 0.2500

Calculated values
The calculation puts the total energy at -9.678 eV per atom. The density of states at the Fermi level is 1.028 states/eV/atom. As for the uncorrected formation energy: 0.486 eV/atom.

=====

Entry 11:
First-principles (GGA-PBEsol) data for crystalline Si2TcRu at its relaxed geometry, as listed in Alexandria.

Lattice parameters (Å, degrees): 2.8006 3.7460 5.1180 90.00 90.05 90.00
Element x y z (fractional)
Si1 0.0028 0.0000 0.2328
Si2 0.9972 0.0000 0.7672
Tc1 0.5000 0.5000 0.0000
Ru1 0.0000 0.5000 0.5000

Calculated values
The calculation puts the total energy at -8.523 eV per atom. The density of states at the Fermi level is 0.543 states/eV/atom. As for the uncorrected formation energy: -0.290 eV/atom.

=====

Entry 12:
First-principles (GGA-PBEsol) data for crystalline Si2TcRu at its relaxed geometry, as listed in Alexandria.

Lattice parameters (Å, degrees): 2.7026 2.7026 8.1415 90.00 90.00 114.15
Element x y z (fractional)
Si1 0.0000 0.0000 0.0000
Si2 0.5000 0.5000 0.2586
Tc1 0.5000 0.5000 0.7614
Ru1 0.0000 0.0000 0.4877

Calculated values
The calculation puts the total energy at -8.082 eV per atom. The density of states at the Fermi level is 0.929 states/eV/atom. As for the uncorrected formation energy: 0.151 eV/atom.

=====

Entry 13:
First-principles (GGA-PBEsol) data for crystalline SiTcRu2 at its relaxed geometry, as listed in Alexandria.

Lattice parameters (Å, degrees): 4.2138 4.2138 4.2138 60.00 60.00 60.00
Element x y z (fractional)
Si1 0.0000 0.0000 0.0000
Tc1 0.7500 0.7500 0.7500
Ru1 0.2500 0.2500 0.2500
Ru2 0.5000 0.5000 0.5000

Calculated values
The calculation puts the total energy at -9.398 eV per atom. The density of states at the Fermi level is 1.005 states/eV/atom. As for the uncorrected formation energy: -0.059 eV/atom.

=====

Entry 14:
First-principles (GGA-PBEsol) data for crystalline SiTcRu2 at its relaxed geometry, as listed in Alexandria.

Lattice parameters (Å, degrees): 2.8112 2.8112 6.5448 90.00 90.00 90.00
Element x y z (fractional)
Si1 0.0000 0.0000 0.0000
Tc1 0.0000 0.0000 0.5000
Ru1 0.5000 0.5000 0.2230
Ru2 0.5000 0.5000 0.7770

Calculated values
The calculation puts the total energy at -9.694 eV per atom. The density of states at the Fermi level is 0.602 states/eV/atom. As for the uncorrected formation energy: -0.354 eV/atom.